Record 1
Compound: BaTcW2
Source: Alexandria via LeMat-Bulk
Functional: SCAN
Structure: PBEsol geometry

a b c (Å): 2.870 5.393 5.599
angles (deg): 115.22 98.75 102.49
Fractional coordinates of all 4 atoms:
Ba 0.000 0.500 0.000
Tc 0.500 0.000 0.000
W 0.500 0.500 0.500
W 0.000 0.000 0.500



Record 2
Compound: BaTc3W
Source: Alexandria via LeMat-Bulk
Functional: SCAN
Structure: PBEsol geometry

a b c (Å): 4.806 4.806 4.806
angles (deg): 90.00 90.00 90.00
Fractional coordinates of all 5 atoms:
Ba 0.500 0.500 0.500
W 0.000 0.000 0.000
Tc 0.000 0.500 0.000
Tc 0.000 0.000 0.500
Tc 0.500 0.000 0.000



Number 1: calculated density 13.613 Mg/m³, M_tot 0.00 μB/f.u., energy of formation 36.98 kcal/mol of atoms. Number 2: calculated density 9.205 Mg/m³, M_tot 3.04 μB/f.u., energy of formation 29.88 kcal/mol of atoms.